1.
## VGaCo2N (PBE)

Data for a relaxed structure of VGaCo2N. Values from VASP.

Structure (Quantum ESPRESSO input):
```
&SYSTEM
  ibrav = 0, nat = 5, ntyp = 4
/
ATOMIC_SPECIES
V 50.94 V.upf
Ga 69.72 Ga.upf
Co 58.93 Co.upf
N 14.01 N.upf
CELL_PARAMETERS angstrom
3.793 0.000 0.000
0.000 3.793 0.000
0.000 0.000 3.885
ATOMIC_POSITIONS crystal
V 0.000 0.000 0.000
Ga 0.500 0.500 0.000
Co 0.000 0.500 0.500
Co 0.500 0.000 0.500
N 0.000 0.000 0.500
```

- Magnetization: 2.58 μB/cell
- Raw formation energy: -347 meV/atom
- Symmetry: No. 123



2.
## NaAg4Ge (PBE)

Data for a relaxed structure of NaAg4Ge. Values from VASP.

Structure (Quantum ESPRESSO input):
```
&SYSTEM
  ibrav = 0, nat = 12, ntyp = 3
/
ATOMIC_SPECIES
Na 22.99 Na.upf
Ag 107.87 Ag.upf
Ge 72.64 Ge.upf
CELL_PARAMETERS angstrom
6.337 0.000 0.000
0.000 4.774 0.000
0.000 0.000 7.777
ATOMIC_POSITIONS crystal
Na 0.250 0.000 0.145
Na 0.750 0.000 0.855
Ag 0.000 0.000 0.500
Ag 0.027 0.500 0.815
Ag 0.250 0.500 0.477
Ag 0.473 0.500 0.815
Ag 0.500 0.000 0.500
Ag 0.527 0.500 0.185
Ag 0.750 0.500 0.523
Ag 0.973 0.500 0.185
Ge 0.250 0.000 0.770
Ge 0.750 0.000 0.230
```

- Magnetization: 0.00 μB/cell
- Energy of formation: 0.055 eV per atom
- Relative energy among the computed polymorphs: 0.0 meV per atom
- Symmetry: No. 51



3.
## Sr8CdAu2N (PBE)

Data for a relaxed structure of Sr8CdAu2N. Values from VASP.

Structure (Quantum ESPRESSO input):
```
&SYSTEM
  ibrav = 0, nat = 12, ntyp = 4
/
ATOMIC_SPECIES
Sr 87.62 Sr.upf
Cd 112.41 Cd.upf
Au 196.97 Au.upf
N 14.01 N.upf
CELL_PARAMETERS angstrom
7.064 0.000 0.000
0.000 9.195 0.000
-0.237 0.000 7.281
ATOMIC_POSITIONS crystal
Sr 0.212 0.204 0.164
Sr 0.212 0.796 0.164
Sr 0.240 0.000 0.713
Sr 0.280 0.500 0.655
Sr 0.720 0.500 0.345
Sr 0.760 0.000 0.287
Sr 0.788 0.204 0.836
Sr 0.788 0.796 0.836
Cd 0.000 0.500 0.000
Au 0.500 0.228 0.500
Au 0.500 0.772 0.500
N 0.000 0.000 0.000
```

- Magnetization: 0.00 μB/cell
- Raw formation energy: -403 meV/atom
- Symmetry: No. 10



4.
## Al3Tl (PBE)

Data for a relaxed structure of Al3Tl. Values from VASP.

Structure (Quantum ESPRESSO input):
```
&SYSTEM
  ibrav = 0, nat = 8, ntyp = 2
/
ATOMIC_SPECIES
Al 26.98 Al.upf
Tl 204.38 Tl.upf
CELL_PARAMETERS angstrom
4.519 0.000 0.000
0.000 4.519 0.000
0.000 0.000 8.042
ATOMIC_POSITIONS crystal
Al 0.000 0.000 0.000
Al 0.000 0.500 0.250
Al 0.000 0.500 0.750
Al 0.500 0.000 0.250
Al 0.500 0.000 0.750
Al 0.500 0.500 0.500
Tl 0.000 0.000 0.500
Tl 0.500 0.500 0.000
```

- Magnetization: 0.00 μB/cell
- Energy of formation: 0.285 eV per atom
- Relative energy among the computed polymorphs: 111.5 meV per atom
- Symmetry: No. 139



5.
## Dy12Tm3Zr (PBE)

Data for a relaxed structure of Dy12Tm3Zr. Values from VASP.

Structure (Quantum ESPRESSO input):
```
&SYSTEM
  ibrav = 0, nat = 16, ntyp = 3
/
ATOMIC_SPECIES
Dy 162.50 Dy.upf
Tm 168.93 Tm.upf
Zr 91.22 Zr.upf
CELL_PARAMETERS angstrom
4.964 0.000 0.000
0.000 4.964 0.000
0.000 0.000 19.786
ATOMIC_POSITIONS crystal
Dy 0.000 0.000 0.000
Dy 0.000 0.000 0.248
Dy 0.000 0.000 0.500
Dy 0.000 0.000 0.752
Dy 0.000 0.500 0.119
Dy 0.000 0.500 0.373
Dy 0.000 0.500 0.627
Dy 0.000 0.500 0.881
Dy 0.500 0.000 0.119
Dy 0.500 0.000 0.373
Dy 0.500 0.000 0.627
Dy 0.500 0.000 0.881
Tm 0.500 0.500 0.248
Tm 0.500 0.500 0.500
Tm 0.500 0.500 0.752
Zr 0.500 0.500 0.000
```

- Magnetization: 0.00 μB/cell
- Energy of formation: 0.037 eV per atom
- Symmetry: No. 123



6.
## K2MgSc (PBE)

Data for a relaxed structure of K2MgSc. Values from VASP.

Structure (Quantum ESPRESSO input):
```
&SYSTEM
  ibrav = 0, nat = 4, ntyp = 3
/
ATOMIC_SPECIES
K 39.10 K.upf
Mg 24.30 Mg.upf
Sc 44.96 Sc.upf
CELL_PARAMETERS angstrom
4.707 0.000 0.000
0.000 4.707 0.000
0.000 0.000 7.332
ATOMIC_POSITIONS crystal
K 0.000 0.000 0.242
K 0.000 0.000 0.758
Mg 0.500 0.500 0.000
Sc 0.500 0.500 0.500
```

- Magnetization: 1.65 μB/cell
- Energy of formation: 0.623 eV per atom
- Symmetry: No. 123



7.
## Tc2PtRh6 (PBE)

Data for a relaxed structure of Tc2PtRh6. Values from VASP.

Structure (Quantum ESPRESSO input):
```
&SYSTEM
  ibrav = 0, nat = 9, ntyp = 3
/
ATOMIC_SPECIES
Tc 98.00 Tc.upf
Pt 195.08 Pt.upf
Rh 102.91 Rh.upf
CELL_PARAMETERS angstrom
6.261 -1.356 0.000
6.261 1.356 0.000
-4.780 0.000 7.847
ATOMIC_POSITIONS crystal
Tc 0.160 0.160 0.294
Tc 0.840 0.840 0.706
Pt 0.500 0.500 0.000
Rh 0.125 0.125 0.549
Rh 0.254 0.254 0.879
Rh 0.462 0.462 0.265
Rh 0.538 0.538 0.735
Rh 0.746 0.746 0.121
Rh 0.875 0.875 0.451
```

- Magnetization: 0.00 μB/cell
- Energy of formation: 0.049 eV per atom
- Relative energy among the computed polymorphs: 141.7 meV per atom
- Symmetry: No. 12



8.
## La2Ce4Sb3H2 (PBE)

Data for a relaxed structure of La2Ce4Sb3H2. Values from VASP.

Structure (Quantum ESPRESSO input):
```
&SYSTEM
  ibrav = 0, nat = 11, ntyp = 4
/
ATOMIC_SPECIES
La 138.91 La.upf
Ce 140.12 Ce.upf
Sb 121.76 Sb.upf
H 1.01 H.upf
CELL_PARAMETERS angstrom
-2.343 2.343 13.174
2.343 -2.343 13.174
2.343 2.343 -13.174
ATOMIC_POSITIONS crystal
La 0.200 0.200 0.000
La 0.800 0.800 0.000
Ce 0.083 0.583 0.500
Ce 0.417 0.917 0.500
Ce 0.583 0.083 0.500
Ce 0.917 0.417 0.500
Sb 0.327 0.327 0.000
Sb 0.500 0.500 0.000
Sb 0.673 0.673 0.000
H 0.106 0.106 0.000
H 0.894 0.894 0.000
```

- Magnetization: 4.84 μB/cell
- Calculated total energy: -0.2032 Ha/atom
- Symmetry: No. 139



9.
## ZrV2Ir2 (PBE)

Data for a relaxed structure of ZrV2Ir2. Values from VASP.

Structure (Quantum ESPRESSO input):
```
&SYSTEM
  ibrav = 0, nat = 10, ntyp = 3
/
ATOMIC_SPECIES
Zr 91.22 Zr.upf
V 50.94 V.upf
Ir 192.22 Ir.upf
CELL_PARAMETERS angstrom
7.453 0.000 0.000
0.000 7.453 0.000
0.000 0.000 2.808
ATOMIC_POSITIONS crystal
Zr 0.000 0.000 0.000
Zr 0.500 0.500 0.000
V 0.152 0.348 0.000
V 0.348 0.848 0.000
V 0.652 0.152 0.000
V 0.848 0.652 0.000
Ir 0.145 0.645 0.500
Ir 0.355 0.145 0.500
Ir 0.645 0.855 0.500
Ir 0.855 0.355 0.500
```

- Magnetization: 0.00 μB/cell
- Energy of formation: -0.446 eV per atom
- Relative energy among the computed polymorphs: 0.0 meV per atom
- Symmetry: No. 127



10.
## KMn2Tl (PBE)

Data for a relaxed structure of KMn2Tl. Values from VASP.

Structure (Quantum ESPRESSO input):
```
&SYSTEM
  ibrav = 0, nat = 16, ntyp = 3
/
ATOMIC_SPECIES
K 39.10 K.upf
Mn 54.94 Mn.upf
Tl 204.38 Tl.upf
CELL_PARAMETERS angstrom
7.379 0.000 0.000
0.000 7.379 0.000
0.000 0.000 7.379
ATOMIC_POSITIONS crystal
K 0.000 0.000 0.000
K 0.000 0.500 0.500
K 0.500 0.000 0.500
K 0.500 0.500 0.000
Mn 0.000 0.000 0.500
Mn 0.000 0.500 0.000
Mn 0.250 0.250 0.250
Mn 0.250 0.750 0.750
Mn 0.500 0.000 0.000
Mn 0.500 0.500 0.500
Mn 0.750 0.250 0.750
Mn 0.750 0.750 0.250
Tl 0.250 0.250 0.750
Tl 0.250 0.750 0.250
Tl 0.750 0.250 0.250
Tl 0.750 0.750 0.750
```

- Magnetization: 34.21 μB/cell
- Energy of formation: 0.855 eV per atom
- Relative energy among the computed polymorphs: 282.7 meV per atom
- Symmetry: No. 216



11.
## MgP (PBE)

Data for a relaxed structure of MgP. Values from VASP.

Structure (Quantum ESPRESSO input):
```
&SYSTEM
  ibrav = 0, nat = 8, ntyp = 2
/
ATOMIC_SPECIES
Mg 24.30 Mg.upf
P 30.97 P.upf
CELL_PARAMETERS angstrom
5.883 0.000 0.000
0.000 5.883 0.000
0.000 0.000 5.883
ATOMIC_POSITIONS crystal
Mg 0.000 0.000 0.000
Mg 0.000 0.500 0.500
Mg 0.500 0.000 0.500
Mg 0.500 0.500 0.000
P 0.250 0.250 0.750
P 0.250 0.750 0.250
P 0.750 0.250 0.250
P 0.750 0.750 0.750
```

- Magnetization: 0.01 μB/cell
- Energy of formation: 0.051 eV per atom
- Relative energy among the computed polymorphs: 570.8 meV per atom
- Symmetry: No. 216



12.
## CsNaSbI2 (PBE)

Data for a relaxed structure of CsNaSbI2. Values from VASP.

Structure (Quantum ESPRESSO input):
```
&SYSTEM
  ibrav = 0, nat = 5, ntyp = 4
/
ATOMIC_SPECIES
Cs 132.91 Cs.upf
Na 22.99 Na.upf
Sb 121.76 Sb.upf
I 126.90 I.upf
CELL_PARAMETERS angstrom
6.269 0.000 0.000
0.000 6.269 0.000
0.000 0.000 6.147
ATOMIC_POSITIONS crystal
Cs 0.000 0.000 0.000
Na 0.500 0.500 0.500
Sb 0.500 0.500 0.000
I 0.000 0.500 0.500
I 0.500 0.000 0.500
```

- Magnetization: 2.99 μB/cell
- Raw formation energy: -505 meV/atom
- Symmetry: No. 123